# 1
# Li2CaSb2 | Alexandria | SCAN | single point on PBEsol structure
# Total magnetic moment in μB/cell: 0.000
# Uncorrected formation energy in eV per atom: -0.72
data_Li2CaSb2
_cell_length_a 4.4301
_cell_length_b 4.4301
_cell_length_c 11.9149
_cell_angle_alpha 90.00
_cell_angle_beta 90.00
_cell_angle_gamma 90.00
_space_group_name_H-M_alt 'I 4/m m m'
_space_group_IT_number 139
_space_group_name_Hall '-I 4 2'
loop_
_atom_site_label
_atom_site_type_symbol
_atom_site_fract_x
_atom_site_fract_y
_atom_site_fract_z
Li1 Li 0.0000 0.5000 0.2500
Ca1 Ca 0.0000 0.0000 0.0000
Sb1 Sb 0.0000 0.0000 0.3814


# 2
# MnZn2Cr | Alexandria | SCAN | single point on PBEsol structure
# Energy relative to the lowest polymorph listed for this composition in eV per atom: 0.177
# Total magnetic moment in μB/cell: 2.250
# ΔE_f in kJ per mole of atoms: 16
data_MnZn2Cr
_cell_length_a 2.5986
_cell_length_b 2.5986
_cell_length_c 25.1777
_cell_angle_alpha 90.00
_cell_angle_beta 90.00
_cell_angle_gamma 120.00
_space_group_name_H-M_alt 'R 3 m'
_space_group_IT_number 160
_space_group_name_Hall 'R 3 -2"'
loop_
_atom_site_label
_atom_site_type_symbol
_atom_site_fract_x
_atom_site_fract_y
_atom_site_fract_z
Mn1 Mn 0.0000 0.0000 0.0000
Zn1 Zn 0.0000 0.0000 0.2484
Zn2 Zn 0.0000 0.0000 0.4894
Cr1 Cr 0.0000 0.0000 0.7355


# 3
# Mn3CdIr | Alexandria | SCAN | single point on PBEsol structure
# Total magnetic moment in μB/cell: 13.815
# ΔE_f in kJ per mole of atoms: 39
data_Mn3CdIr
_cell_length_a 4.7534
_cell_length_b 4.7534
_cell_length_c 4.7534
_cell_angle_alpha 90.00
_cell_angle_beta 90.00
_cell_angle_gamma 90.00
_space_group_name_H-M_alt 'P m -3 m'
_space_group_IT_number 221
_space_group_name_Hall '-P 4 2 3'
loop_
_atom_site_label
_atom_site_type_symbol
_atom_site_fract_x
_atom_site_fract_y
_atom_site_fract_z
Mn1 Mn 0.0000 0.0000 0.5000
Cd1 Cd 0.5000 0.5000 0.5000
Ir1 Ir 0.0000 0.0000 0.0000


# 4
# CuReP2 | Alexandria | SCAN | single point on PBEsol structure
# Energy relative to the lowest polymorph listed for this composition in eV per atom: 0.246
# Total magnetic moment in μB/cell: 0.000
# ΔE_f in kJ per mole of atoms: 31
data_CuReP2
_cell_length_a 3.0284
_cell_length_b 4.0585
_cell_length_c 4.5710
_cell_angle_alpha 90.00
_cell_angle_beta 90.00
_cell_angle_gamma 90.00
_space_group_name_H-M_alt 'P m m m'
_space_group_IT_number 47
loop_
_space_group_symop_operation_xyz
'x,y,z'
'-x,-y,-z'
'-x,-y,z'
'x,y,-z'
'x,-y,-z'
'-x,y,z'
'-x,y,-z'
'x,-y,z'
loop_
_atom_site_label
_atom_site_type_symbol
_atom_site_fract_x
_atom_site_fract_y
_atom_site_fract_z
Cu1 Cu 0.0000 0.0000 0.0000
Re1 Re 0.5000 0.0000 0.5000
P1 P 0.5000 0.5000 0.2336


# 5
# AlCl | Alexandria | SCAN | single point on PBEsol structure
# Total magnetic moment in μB/cell: 0.000
# Uncorrected formation energy in eV per atom: -0.31
data_AlCl
_cell_length_a 3.2216
_cell_length_b 4.7611
_cell_length_c 5.7716
_cell_angle_alpha 90.00
_cell_angle_beta 90.00
_cell_angle_gamma 90.00
_space_group_name_H-M_alt 'P m m n'
_space_group_IT_number 59
loop_
_space_group_symop_operation_xyz
'x,y,z'
'-x,-y,-z'
'-x+1/2,-y+1/2,z'
'x+1/2,y+1/2,-z'
'x+1/2,-y,-z'
'-x+1/2,y,z'
'-x,y+1/2,-z'
'x,-y+1/2,z'
loop_
_atom_site_label
_atom_site_type_symbol
_atom_site_fract_x
_atom_site_fract_y
_atom_site_fract_z
Al1 Al 0.2500 0.2500 0.2226
Cl1 Cl 0.2500 0.2500 0.6423


# 6
# BaCoC2F | Alexandria | SCAN | single point on PBEsol structure
# Total magnetic moment in μB/cell: 0.486
# Uncorrected formation energy in eV per atom: -0.25
data_BaCoC2F
_cell_length_a 3.6083
_cell_length_b 3.6083
_cell_length_c 5.6708
_cell_angle_alpha 90.00
_cell_angle_beta 90.00
_cell_angle_gamma 90.00
_space_group_name_H-M_alt 'P 4/m m m'
_space_group_IT_number 123
_space_group_name_Hall '-P 4 2'
loop_
_atom_site_label
_atom_site_type_symbol
_atom_site_fract_x
_atom_site_fract_y
_atom_site_fract_z
Ba1 Ba 0.0000 0.0000 0.0000
Co1 Co 0.5000 0.5000 0.5000
C1 C 0.0000 0.5000 0.5000
F1 F 0.5000 0.5000 0.0000


# 7
# ScGaBi3 | Alexandria | SCAN | single point on PBEsol structure
# Total magnetic moment in μB/cell: 0.000
# ΔE_f in kJ per mole of atoms: 26
data_ScGaBi3
_cell_length_a 5.5201
_cell_length_b 5.5201
_cell_length_c 5.5201
_cell_angle_alpha 90.00
_cell_angle_beta 90.00
_cell_angle_gamma 90.00
_space_group_name_H-M_alt 'P m -3 m'
_space_group_IT_number 221
_space_group_name_Hall '-P 4 2 3'
loop_
_atom_site_label
_atom_site_type_symbol
_atom_site_fract_x
_atom_site_fract_y
_atom_site_fract_z
Sc1 Sc 0.0000 0.0000 0.0000
Ga1 Ga 0.5000 0.5000 0.5000
Bi1 Bi 0.0000 0.0000 0.5000


# 8
# YFeSiBi2 | Alexandria | SCAN | single point on PBEsol structure
# Total magnetic moment in μB/cell: 3.306
# Uncorrected formation energy in eV per atom: 0.71
data_YFeSiBi2
_cell_length_a 5.2852
_cell_length_b 5.2852
_cell_length_c 5.2467
_cell_angle_alpha 90.00
_cell_angle_beta 90.00
_cell_angle_gamma 90.00
_space_group_name_H-M_alt 'P 4/m m m'
_space_group_IT_number 123
_space_group_name_Hall '-P 4 2'
loop_
_atom_site_label
_atom_site_type_symbol
_atom_site_fract_x
_atom_site_fract_y
_atom_site_fract_z
Y1 Y 0.0000 0.0000 0.0000
Fe1 Fe 0.5000 0.5000 0.0000
Si1 Si 0.0000 0.0000 0.5000
Bi1 Bi 0.0000 0.5000 0.5000


# 9
# AlMo2Cl | Alexandria | SCAN | single point on PBEsol structure
# Energy relative to the lowest polymorph listed for this composition in eV per atom: 0.621
# Total magnetic moment in μB/cell: 0.000
# Uncorrected formation energy in eV per atom: 0.93
data_AlMo2Cl
_cell_length_a 3.7561
_cell_length_b 3.7561
_cell_length_c 8.7711
_cell_angle_alpha 90.00
_cell_angle_beta 90.00
_cell_angle_gamma 90.00
_space_group_name_H-M_alt 'I 4/m m m'
_space_group_IT_number 139
_space_group_name_Hall '-I 4 2'
loop_
_atom_site_label
_atom_site_type_symbol
_atom_site_fract_x
_atom_site_fract_y
_atom_site_fract_z
Al1 Al 0.0000 0.0000 0.0000
Mo1 Mo 0.0000 0.5000 0.2500
Cl1 Cl 0.0000 0.0000 0.5000


# 10
# Tc4Mo | Alexandria | SCAN | single point on PBEsol structure
# Total magnetic moment in μB/cell: 0.000
# ΔE_f in kJ per mole of atoms: 62
data_Tc4Mo
_cell_length_a 3.7998
_cell_length_b 3.7998
_cell_length_c 11.0001
_cell_angle_alpha 90.00
_cell_angle_beta 90.00
_cell_angle_gamma 90.00
_space_group_name_H-M_alt 'I 4/m m m'
_space_group_IT_number 139
_space_group_name_Hall '-I 4 2'
loop_
_atom_site_label
_atom_site_type_symbol
_atom_site_fract_x
_atom_site_fract_y
_atom_site_fract_z
Tc1 Tc 0.0000 0.0000 0.1032
Tc2 Tc 0.0000 0.5000 0.2500
Mo1 Mo 0.0000 0.0000 0.5000


# 11
# TbFe2Si2 | Alexandria | SCAN | single point on PBEsol structure
# Total magnetic moment in μB/cell: 2.730
# Uncorrected formation energy in eV per atom: -0.58
data_TbFe2Si2
_cell_length_a 3.9153
_cell_length_b 3.9153
_cell_length_c 9.4436
_cell_angle_alpha 90.00
_cell_angle_beta 90.00
_cell_angle_gamma 90.00
_space_group_name_H-M_alt 'I 4/m m m'
_space_group_IT_number 139
_space_group_name_Hall '-I 4 2'
loop_
_atom_site_label
_atom_site_type_symbol
_atom_site_fract_x
_atom_site_fract_y
_atom_site_fract_z
Tb1 Tb 0.0000 0.0000 0.0000
Fe1 Fe 0.0000 0.5000 0.2500
Si1 Si 0.0000 0.0000 0.3659


# 12
# Ta4Mo3 | Alexandria | SCAN | single point on PBEsol structure
# Energy relative to the lowest polymorph listed for this composition in eV per atom: 0.000
# Total magnetic moment in μB/cell: 0.000
# ΔE_f in kJ per mole of atoms: -14
data_Ta4Mo3
_cell_length_a 3.1934
_cell_length_b 3.1934
_cell_length_c 22.6304
_cell_angle_alpha 90.00
_cell_angle_beta 90.00
_cell_angle_gamma 90.00
_space_group_name_H-M_alt 'I 4/m m m'
_space_group_IT_number 139
_space_group_name_Hall '-I 4 2'
loop_
_atom_site_label
_atom_site_type_symbol
_atom_site_fract_x
_atom_site_fract_y
_atom_site_fract_z
Ta1 Ta 0.0000 0.0000 0.0695
Ta2 Ta 0.0000 0.0000 0.3543
Mo1 Mo 0.0000 0.0000 0.2164
Mo2 Mo 0.0000 0.0000 0.5000


no.,total DFT energy (no corrections) (eV/cell)
1,-185.2
2,-189.1
3,-154.3
4,-105.8
5,-32.7
6,-81.9
7,-265.0
8,-209.6
9,-163.5
10,-343.8
11,-211.9
12,-744.1